Sr2InBr: relaxed, PBE-GGA.

```
Sr2InBr
1.0
8.538 0.000 0.000
0.000 8.538 0.000
0.000 0.000 8.901
Sr In Br
8 4 4
Direct
0.229 0.250 0.125
0.250 0.729 0.375
0.250 0.771 0.875
0.271 0.250 0.625
0.729 0.750 0.625
0.750 0.229 0.875
0.750 0.271 0.375
0.771 0.750 0.125
0.000 0.000 0.500
0.000 0.500 0.750
0.500 0.000 0.250
0.500 0.500 0.000
0.000 0.000 0.000
0.000 0.500 0.250
0.500 0.000 0.750
0.500 0.500 0.500
```

Properties
ΔE_f (raw) ... -71.2 kJ/mol of atoms
SG ... I-42d
Fermi-level density of states ... 1.0 states/eV/cell



CaOsO2: relaxed, PBE-GGA.

```
CaOsO2
1.0
4.477 0.000 0.000
0.000 4.477 0.000
0.000 0.000 11.788
Ca Os O
4 4 8
Direct
0.000 0.000 0.000
0.000 0.500 0.250
0.500 0.000 0.750
0.500 0.500 0.500
0.000 0.000 0.500
0.000 0.500 0.750
0.500 0.000 0.250
0.500 0.500 0.000
0.179 0.250 0.625
0.250 0.679 0.875
0.250 0.821 0.375
0.321 0.250 0.125
0.679 0.750 0.125
0.750 0.179 0.375
0.750 0.321 0.875
0.821 0.750 0.625
```

Properties
ΔE_f (raw) ... -97.5 kJ/mol of atoms
SG ... I-42d
Fermi-level density of states ... 12.4 states/eV/cell



LaSc3Ag4: relaxed, PBE-GGA.

```
LaSc3Ag4
1.0
4.977 0.000 0.000
0.000 4.977 0.000
0.000 0.000 7.180
La Sc Ag
1 3 4
Direct
0.000 0.000 0.000
0.000 0.000 0.500
0.500 0.500 0.000
0.500 0.500 0.500
0.000 0.500 0.278
0.000 0.500 0.722
0.500 0.000 0.278
0.500 0.000 0.722
```

Properties
SG ... P4/mmm
Fermi-level density of states ... 6.6 states/eV/cell
Uncorrected energy ... -37.15 eV per cell



YHoEr3: relaxed, PBE-GGA.

```
YHoEr3
1.0
3.516 0.000 0.000
0.008 8.637 0.000
0.006 2.905 10.184
Y Ho Er
2 2 6
Direct
0.250 0.050 0.348
0.750 0.950 0.652
0.250 0.450 0.150
0.750 0.550 0.850
0.250 0.251 0.750
0.250 0.649 0.550
0.250 0.850 0.952
0.750 0.150 0.048
0.750 0.351 0.450
0.750 0.749 0.250
```

Properties
SG ... P-1
Fermi-level density of states ... 14.2 states/eV/cell
Uncorrected energy ... -49.21 eV per cell



UCoTc: relaxed, PBE-GGA.

```
UCoTc
1.0
3.458 0.000 0.000
0.000 3.458 0.000
0.000 0.000 8.049
U Co Tc
2 2 2
Direct
0.000 0.000 0.000
0.500 0.500 0.500
0.000 0.000 0.354
0.500 0.500 0.854
0.000 0.000 0.700
0.500 0.500 0.200
```

Properties
SG ... I4mm
Fermi-level density of states ... 5.6 states/eV/cell
Uncorrected energy ... -57.25 eV per cell



Al4Ir3Pt: relaxed, PBE-GGA.

```
Al4Ir3Pt
1.0
2.930 0.000 0.000
0.000 2.930 0.000
0.000 0.000 13.078
Al Ir Pt
4 3 1
Direct
0.000 0.000 0.122
0.000 0.000 0.366
0.000 0.000 0.634
0.000 0.000 0.878
0.500 0.500 0.000
0.500 0.500 0.244
0.500 0.500 0.756
0.500 0.500 0.500
```

Properties
SG ... P4/mmm
Fermi-level density of states ... 2.3 states/eV/cell
Uncorrected energy ... -55.11 eV per cell



TaZn2Re: relaxed, PBE-GGA.

```
TaZn2Re
1.0
2.698 0.000 0.000
0.000 4.411 0.000
-1.345 0.000 5.199
Ta Zn Re
1 2 1
Direct
0.000 0.000 0.000
0.298 0.500 0.743
0.702 0.500 0.257
0.500 0.000 0.500
```

Properties
SG ... P2/m
Fermi-level density of states ... 1.9 states/eV/cell
Uncorrected energy ... -26.43 eV per cell



SrAcRuO6: relaxed, PBE-GGA.

```
SrAcRuO6
1.0
5.927 0.000 0.000
-2.963 5.133 0.000
0.000 0.000 9.586
Sr Ac Ru O
2 2 2 12
Direct
0.000 0.000 0.000
0.000 0.000 0.500
0.333 0.667 0.250
0.667 0.333 0.750
0.333 0.667 0.750
0.667 0.333 0.250
0.067 0.396 0.638
0.067 0.671 0.862
0.329 0.396 0.862
0.329 0.933 0.638
0.396 0.067 0.138
0.396 0.329 0.362
0.604 0.671 0.638
0.604 0.933 0.862
0.671 0.067 0.362
0.671 0.604 0.138
0.933 0.329 0.138
0.933 0.604 0.362
```

Properties
ΔE_f (raw) ... -185.1 kJ/mol of atoms
SG ... P-31c
Fermi-level density of states ... 8.9 states/eV/cell